The following is a DFT calculation (PBE-GGA) of RbCoTe after structural relaxation.

Output
The value obtained for the calculated total energy is -3.860 eV/atom. The value obtained for the uncorrected formation energy is -0.122 eV per atom.

Cell: 4.1202 4.1303 13.9852 Å, 89.88 109.21 60.00°
Closest atoms and distances in Å follow each position.
Fractional coordinates of all 6 atoms:
Rb  0.3538  0.5748  0.5494  3 Te 3.55-3.56
Co  0.0990  0.2046  0.1561  4 Te 2.45-2.49, 3 Co 2.68
Te  0.3812  0.0627  0.3453  4 Co 2.45-2.68
Te  0.6837  0.9122  0.1008  3 Co 2.49
Co  0.5724  0.4677  0.2506  3 Co 2.68, 3 Te 2.68
Rb  0.0477  0.7306  0.8975  3 Te 3.55

The following is a DFT calculation (PBE-GGA) of Rb3U3CoTe8 after structural relaxation.

Output
The value obtained for the calculated total energy is -5.244 eV/atom. The value obtained for the uncorrected formation energy is -0.644 eV per atom.

Cell: 8.6939 8.6927 10.1589 Å, 115.31 90.00 120.00°
Closest atoms and distances in Å follow each position.
Fractional coordinates of all 15 atoms:
Te  0.7825  0.0330  0.3155  1 Co 2.86, 2 U 3.06
Te  0.7831  0.5663  0.3160  1 Co 2.85, 2 U 3.06
Te  0.2169  0.4337  0.6840  1 Co 2.85, 2 U 3.06
Rb  0.0000  0.5000  0.0000  6 Te 3.62-3.70
Co  0.0000  0.0000  0.5000  6 Te 2.85-2.86
U  0.5000  0.0000  0.5000  6 Te 3.06-3.10
Rb  0.0000  0.0000  0.0000  6 Te 3.62-3.70
Rb  0.5000  0.5000  0.0000  6 Te 3.62-3.70
Te  0.2505  0.0330  0.3155  1 Co 2.86, 2 U 3.06
Te  0.2175  0.9670  0.6845  1 Co 2.86, 2 U 3.06
U  0.0000  0.5000  0.5000  6 Te 3.06-3.10
Te  0.2650  0.5300  0.2948  3 U 3.10
U  0.5000  0.5000  0.5000  6 Te 3.06-3.10
Te  0.7495  0.9670  0.6845  1 Co 2.86, 2 U 3.06
Te  0.7350  0.4700  0.7052  3 U 3.10

The following is a DFT calculation (PBE-GGA) of RbZrCoTe2 after structural relaxation.

Output
The value obtained for the calculated total energy is -3.919 eV/atom. The value obtained for the uncorrected formation energy is 0.662 eV per atom.

Cell: 5.5628 7.9835 5.5628 Å, 90.00 90.00 90.00°
Closest atoms and distances in Å follow each position.
Fractional coordinates of all 5 atoms:
Zr  0.0000  0.0000  0.0000  4 Te 2.78
Te  0.5000  0.0000  0.0000  2 Zr 2.78
Rb  0.0000  0.5000  0.0000  4 Co 3.93, 2 Zr 3.99
Te  0.0000  0.0000  0.5000  2 Zr 2.78
Co  0.5000  0.5000  0.5000  4 Rb 3.93

The following is a DFT calculation (PBE-GGA) of RbTi2Co after structural relaxation.

Output
The value obtained for the calculated total energy is -4.742 eV/atom. Its formation energy is 1.2242 eV/atom.

Cell: 4.6711 4.6711 4.6711 Å, 60.00 60.00 60.00°
Closest atoms and distances in Å follow each position.
Fractional coordinates of all 4 atoms:
Ti  0.2500  0.2500  0.2500  4 Rb 2.86, 4 Co 2.86
Rb  0.5000  0.5000  0.5000  8 Ti 2.86
Co  0.0000  0.0000  0.0000  8 Ti 2.86
Ti  0.7500  0.7500  0.7500  4 Co 2.86, 4 Rb 2.86

Per-record N(E_F), states/eV per cell: 7.80; 26.93; 6.20; 5.93
Per-record mass density, Mg/m³: 4.7; 5.9; 3.3; 5.5
Per-record total magnetization, μB per formula unit: 0.6; 8.6; 3.4; 0.0